1.
First-principles (PBE) data for a relaxed YAlMo2 crystal, as listed in Alexandria via LeMat-Bulk.

a b c (Å): 2.9608 4.2969 6.1066
angles (deg): 90.00 101.38 90.00
With the nearest neighbours (Å) after each atom.
Element x y z (fractional)
Y  0.0000  0.0000  0.0000  2 Y 2.96, 6 Mo 3.06-3.17, 4 Al 3.18-3.19
Al  0.6201  0.5000  0.3045  3 Mo 2.69-2.77, 2 Al 2.96
Mo  0.1191  0.0000  0.5141  2 Mo 2.55, 2 Al 2.77
Mo  0.4205  0.5000  0.7157  2 Mo 2.55, 1 Al 2.69

Computed properties:
Calculated formation energy in kcal/mol of atoms: 2.390
SG: No. 6
Total energy in eV for the cell shown: -31.5

2.
First-principles (PBE) data for a relaxed BaHf2Mn crystal, as listed in Alexandria via LeMat-Bulk.

a b c (Å): 7.3066 7.3066 7.3066
angles (deg): 60.00 60.00 60.00
With the nearest neighbours (Å) after each atom.
Element x y z (fractional)
Ba  0.1250  0.1250  0.1250  12 Hf 4.28, 4 Ba 4.47, 4 Mn 4.47
Ba  0.8750  0.8750  0.8750  12 Hf 4.28, 4 Ba 4.47, 4 Mn 4.47
Hf  0.0000  0.5000  0.5000  2 Mn 2.24
Hf  0.5000  0.0000  0.5000  2 Mn 2.24
Hf  0.5000  0.5000  0.0000  2 Mn 2.24
Hf  0.5000  0.5000  0.5000  2 Mn 2.24
Mn  0.3750  0.3750  0.3750  4 Hf 2.24
Mn  0.6250  0.6250  0.6250  4 Hf 2.24

Computed properties:
Calculated formation energy in kcal/mol of atoms: 22.079
SG: No. 227
Offset from the most stable computed form in meV per atom: 0
Total energy in eV for the cell shown: -54.3

3.
First-principles (PBE) data for a relaxed EuTm2Ni crystal, as listed in Alexandria via LeMat-Bulk.

a b c (Å): 10.4868 10.4868 10.4868
angles (deg): 20.91 20.91 20.91
With the nearest neighbours (Å) after each atom.
Element x y z (fractional)
Eu  0.0000  0.0000  0.0000  2 Tm 3.66, 6 Eu 3.81
Tm  0.1191  0.1191  0.1191  3 Ni 2.64
Tm  0.8809  0.8809  0.8809  3 Ni 2.64
Ni  0.5000  0.5000  0.5000  6 Tm 2.64

Computed properties:
Calculated formation energy in kcal/mol of atoms: -0.144
SG: No. 166
Offset from the most stable computed form in meV per atom: 166
Total energy in eV for the cell shown: -25.0

4.
First-principles (PBE) data for a relaxed LiDyTm2Pd4 crystal, as listed in Alexandria via LeMat-Bulk.

a b c (Å): 8.2605 8.2605 8.2605
angles (deg): 34.02 34.02 34.02
With the nearest neighbours (Å) after each atom.
Element x y z (fractional)
Li  0.0000  0.0000  0.0000  8 Pd 2.90-2.98
Dy  0.5000  0.5000  0.5000  8 Pd 2.85-2.96
Tm  0.2575  0.2575  0.2575  8 Pd 2.81-3.11
Tm  0.7425  0.7425  0.7425  8 Pd 2.81-3.11
Pd  0.1243  0.1243  0.1243  1 Li 2.90, 3 Dy 2.96, 4 Tm 3.01-3.11
Pd  0.3779  0.3779  0.3779  4 Tm 2.81-2.88, 1 Dy 2.85, 3 Li 2.98
Pd  0.6221  0.6221  0.6221  4 Tm 2.81-2.88, 1 Dy 2.85, 3 Li 2.98
Pd  0.8757  0.8757  0.8757  1 Li 2.90, 3 Dy 2.96, 4 Tm 3.01-3.11

Computed properties:
Calculated formation energy in kcal/mol of atoms: -18.917
SG: No. 166
Total energy in eV for the cell shown: -42.8

5.
First-principles (PBE) data for a relaxed PmEr5Se6 crystal, as listed in Alexandria via LeMat-Bulk.

a b c (Å): 7.0366 7.0366 7.0559
angles (deg): 99.50 99.50 120.29
With the nearest neighbours (Å) after each atom.
Element x y z (fractional)
Pm  0.0000  0.0000  0.0000  6 Se 2.93-2.96
Er  0.1590  0.8410  0.5000  6 Se 2.83-2.88
Er  0.3349  0.6651  0.0000  6 Se 2.84-2.88
Er  0.5000  0.5000  0.5000  6 Se 2.81-2.88
Er  0.6651  0.3349  0.0000  6 Se 2.84-2.88
Er  0.8410  0.1590  0.5000  6 Se 2.83-2.88
Se  0.0848  0.4291  0.2566  5 Er 2.86-2.88, 1 Pm 2.96
Se  0.2593  0.2593  0.7489  5 Er 2.81-2.84, 1 Pm 2.93
Se  0.4291  0.0848  0.2566  5 Er 2.86-2.88, 1 Pm 2.96
Se  0.5709  0.9152  0.7434  5 Er 2.86-2.88, 1 Pm 2.96
Se  0.7407  0.7407  0.2511  5 Er 2.81-2.84, 1 Pm 2.93
Se  0.9152  0.5709  0.7434  5 Er 2.86-2.88, 1 Pm 2.96

Computed properties:
E_form (uncorrected) in eV/atom: -1.719
SG: No. 12
Total energy in eV for the cell shown: -69.1

6.
First-principles (PBE) data for a relaxed VAs2Pd crystal, as listed in Alexandria via LeMat-Bulk.

a b c (Å): 6.8111 6.8111 6.8111
angles (deg): 131.04 131.04 71.75
With the nearest neighbours (Å) after each atom.
Element x y z (fractional)
V  0.0000  0.0000  0.0000  4 As 2.39
V  0.7500  0.2500  0.5000  4 As 2.39
As  0.1123  0.6250  0.9873  2 V 2.39, 2 Pd 2.47
As  0.3750  0.3623  0.4873  2 V 2.39, 2 Pd 2.47
As  0.6377  0.1250  0.0127  2 V 2.39, 2 Pd 2.47
As  0.8750  0.8877  0.5127  2 V 2.39, 2 Pd 2.47
Pd  0.2500  0.7500  0.5000  4 As 2.47
Pd  0.5000  0.5000  0.0000  4 As 2.47

Computed properties:
Calculated formation energy in kcal/mol of atoms: 1.544
SG: No. 122
Total energy in eV for the cell shown: -46.7